Entry 1:
{
  "formula": "Cd2HgF",
  "functional": "GGA-PBE",
  "state": "optimized geometry",
  "dft_energy_ev_per_atom": -1.661,
  "dos_at_fermi_per_ev_atom": 0.50,
  "e_form_raw_ev_per_atom": -0.660,
  "de_polymorph_kj_per_mol_atoms": 2.0,
  "spacegroup": "No. 160",
  "lattice_angstrom": [[-0.890, -2.899, -1.914], [-2.011, -2.576, 1.477], [-7.318, 1.735, -2.586]],
  "species": ["Cd", "Cd", "Hg", "F"],
  "frac_coords": [[0.257, 0.257, 0.228], [0.070, 0.070, 0.791], [0.496, 0.496, 0.511], [0.677, 0.677, 0.970]]
}

***

Entry 2:
{
  "formula": "CdHgF",
  "functional": "GGA-PBE",
  "state": "optimized geometry",
  "dft_energy_ev_per_atom": -2.076,
  "dos_at_fermi_per_ev_atom": 0.02,
  "e_form_raw_ev_per_atom": -1.046,
  "de_polymorph_kj_per_mol_atoms": 0.0,
  "spacegroup": "No. 2",
  "lattice_angstrom": [[3.767, 0.013, 0.031], [-0.016, 4.489, -0.012], [-0.067, -2.167, 7.425]],
  "species": ["F", "F", "Hg", "Hg", "Cd", "Cd"],
  "frac_coords": [[0.250, 0.745, 0.974], [0.750, 0.255, 0.026], [0.750, 0.288, 0.558], [0.250, 0.712, 0.442], [0.750, 0.836, 0.170], [0.250, 0.164, 0.830]]
}

***

Entry 3:
{
  "formula": "CdHgF",
  "functional": "GGA-PBE",
  "state": "optimized geometry",
  "dft_energy_ev_per_atom": -1.974,
  "dos_at_fermi_per_ev_atom": 0.15,
  "e_form_raw_ev_per_atom": -0.945,
  "de_polymorph_kj_per_mol_atoms": 9.8,
  "spacegroup": "No. 12",
  "lattice_angstrom": [[-2.970, -2.497, 2.062], [3.150, -1.747, 2.516], [-1.057, 6.391, 3.710]],
  "species": ["F", "F", "Cd", "Cd", "Hg", "Hg"],
  "frac_coords": [[0.681, 0.681, 0.413], [0.319, 0.319, 0.587], [0.691, 0.691, 0.708], [0.309, 0.309, 0.292], [0.752, 0.248, 0.000], [0.248, 0.752, 0.000]]
}

***

Entry 4:
{
  "formula": "CdHgF",
  "functional": "GGA-PBE",
  "state": "optimized geometry",
  "dft_energy_ev_per_atom": -1.904,
  "dos_at_fermi_per_ev_atom": 0.28,
  "e_form_raw_ev_per_atom": -0.874,
  "de_polymorph_kj_per_mol_atoms": 16.6,
  "spacegroup": "No. 107",
  "lattice_angstrom": [[-2.383, -0.147, 1.995], [1.995, -0.400, 2.353], [0.515, 7.085, -1.287]],
  "species": ["Hg", "Cd", "F"],
  "frac_coords": [[0.015, 0.015, 0.029], [0.704, 0.704, 0.409], [0.281, 0.281, 0.562]]
}

***

Question: Which formula does entry 3 have?
Answer: CdHgF

***

Repeat the third record exactly.
{
  "formula": "CdHgF",
  "functional": "GGA-PBE",
  "state": "optimized geometry",
  "dft_energy_ev_per_atom": -1.974,
  "dos_at_fermi_per_ev_atom": 0.15,
  "e_form_raw_ev_per_atom": -0.945,
  "de_polymorph_kj_per_mol_atoms": 9.8,
  "spacegroup": "No. 12",
  "lattice_angstrom": [[-2.970, -2.497, 2.062], [3.150, -1.747, 2.516], [-1.057, 6.391, 3.710]],
  "species": ["F", "F", "Cd", "Cd", "Hg", "Hg"],
  "frac_coords": [[0.681, 0.681, 0.413], [0.319, 0.319, 0.587], [0.691, 0.691, 0.708], [0.309, 0.309, 0.292], [0.752, 0.248, 0.000], [0.248, 0.752, 0.000]]
}